No. 1
Tc2POs, optimized geometry, DFT GGA-PBE; total DFT energy (no corrections) = -36.95 eV per formula unit; energy of formation = 0.1045 eV/atom
1.0
4.546 -1.422 0.000
4.546 1.422 0.000
-0.184 0.000 4.391
Tc P Os
2 1 1
direct
0.228 0.228 0.244
0.772 0.772 0.756
0.000 0.000 0.500
0.500 0.500 0.000



No. 2
TcPOs, optimized geometry, DFT GGA-PBE; total DFT energy (no corrections) = -27.18 eV per formula unit; energy of formation = -0.0592 eV/atom
1.0
4.095 0.000 0.000
-2.047 3.546 0.000
0.000 0.000 2.830
Tc P Os
1 1 1
direct
0.000 0.000 0.000
0.333 0.667 0.685
0.667 0.333 0.517



No. 3
Tc2POs, optimized geometry, DFT GGA-PBE; total DFT energy (no corrections) = -35.08 eV per formula unit; energy of formation = 0.5720 eV/atom
1.0
-2.731 2.731 5.351
2.731 -2.731 5.351
2.731 2.731 -5.351
Tc P Os
4 2 2
direct
0.111 0.625 0.986
0.375 0.361 0.486
0.639 0.125 0.014
0.875 0.889 0.514
0.000 0.000 0.000
0.750 0.250 0.500
0.250 0.750 0.500
0.500 0.500 0.000



No. 4
Tc2POs, optimized geometry, DFT GGA-PBE; total DFT energy (no corrections) = -36.91 eV per formula unit; energy of formation = 0.1157 eV/atom
1.0
2.838 0.000 0.000
0.000 3.827 0.000
0.000 0.000 5.261
Tc P Os
2 1 1
direct
0.000 0.000 0.000
0.500 0.500 0.338
0.500 0.500 0.833
0.000 0.000 0.527



No. 5
Tc2POs, optimized geometry, DFT GGA-PBE; total DFT energy (no corrections) = -37.95 eV per formula unit; energy of formation = -0.1437 eV/atom
1.0
2.872 0.000 0.000
0.000 2.872 0.000
0.000 0.000 6.596
Tc P Os
2 1 1
direct
0.000 0.000 0.000
0.500 0.500 0.282
0.500 0.500 0.787
0.000 0.000 0.563



No. 6
Tc2POs, optimized geometry, DFT GGA-PBE; total DFT energy (no corrections) = -37.55 eV per formula unit; energy of formation = -0.0458 eV/atom
1.0
2.807 0.000 0.000
0.000 3.909 0.000
-1.186 0.000 5.066
Tc P Os
2 1 1
direct
0.130 0.000 0.266
0.870 0.000 0.734
0.500 0.500 0.500
0.500 0.500 0.000